Density functional theory data (PBE-GGA) for crystalline MgTl2AsCl6 at its relaxed geometry.

Lattice parameters (Å, degrees): 7.136 7.137 7.581 61.89 61.89 90.00
Sites, in units of the cell vectors:
1 Cl 0.254 0.254 0.000
2 Mg 0.000 0.000 0.000
3 Cl 0.786 0.786 0.427
4 Tl 0.750 0.250 0.499
5 Tl 0.250 0.750 0.501
6 Cl 0.746 0.254 0.000
7 As 0.500 0.500 0.000
8 Cl 0.254 0.746 0.000
9 Cl 0.214 0.214 0.573
10 Cl 0.746 0.746 0.000

***

Density functional theory data (PBE-GGA) for crystalline MgZrAsCl2 at its relaxed geometry.

Lattice parameters (Å, degrees): 4.939 5.484 4.939 90.00 90.00 90.00
Sites, in units of the cell vectors:
1 Mg 0.500 0.500 0.500
2 Cl 0.000 0.000 0.500
3 Zr 0.000 0.000 0.000
4 As 0.000 0.500 0.000
5 Cl 0.500 0.000 0.000

DOS(E_F) in states/eV per atom: 0.530

***

Density functional theory data (PBE-GGA) for crystalline MnAs2Cl at its relaxed geometry.

Lattice parameters (Å, degrees): 3.416 3.416 8.928 90.00 90.00 116.70
Sites, in units of the cell vectors:
1 Mn 0.500 0.500 0.763
2 As 0.000 0.000 0.978
3 As 0.500 0.500 0.175
4 Cl 0.000 0.000 0.584

Energy above the lowest structure with this stoichiometry in eV per atom: 0.2515
DOS(E_F) in states/eV per atom: 0.419

***

Density functional theory data (PBE-GGA) for crystalline MnAs2Cl at its relaxed geometry.

Lattice parameters (Å, degrees): 3.469 4.247 7.827 68.76 90.00 90.00
Sites, in units of the cell vectors:
1 As 0.500 0.441 0.137
2 Cl 0.000 0.632 0.580
3 Mn 0.500 0.576 0.800
4 As 0.000 0.851 0.983

Energy above the lowest structure with this stoichiometry in eV per atom: 0.0000
DOS(E_F) in states/eV per atom: 0.086

***

Density functional theory data (PBE-GGA) for crystalline MnAs2Cl at its relaxed geometry.

Lattice parameters (Å, degrees): 8.837 8.837 8.837 156.08 155.45 34.54
Sites, in units of the cell vectors:
1 Mn 0.426 0.926 0.500
2 Cl 0.515 0.515 0.000
3 As 0.827 0.827 0.000
4 As 0.732 0.232 0.500

Energy above the lowest structure with this stoichiometry in eV per atom: 0.0143
DOS(E_F) in states/eV per atom: 0.207

***

Density functional theory data (PBE-GGA) for crystalline MnAs2Cl at its relaxed geometry.

Lattice parameters (Å, degrees): 4.613 4.613 7.219 74.60 74.60 40.60
Sites, in units of the cell vectors:
1 As 0.226 0.226 0.136
2 As 0.069 0.069 0.918
3 Cl 0.407 0.407 0.600
4 Mn 0.798 0.798 0.846

Energy above the lowest structure with this stoichiometry in eV per atom: 0.0107
DOS(E_F) in states/eV per atom: 0.319

***

| no. | total magnetic moment (Bohr magnetons per cell) | DFT total energy (eV per formula unit) |
| --- | --- | --- |
| 1 | 1.00 | -32.002 |
| 2 | 0.00 | -22.180 |
| 3 | 4.45 | -20.189 |
| 4 | 4.01 | -21.195 |
| 5 | 4.79 | -21.138 |
| 6 | 2.19 | -21.152 |